(1)
This record from the Alexandria database describes a crystal of RbTaCo3 relaxed with PBEsol. The functional is SCAN.

- formation energy (eV per formula unit) = 14.87
- symmetry = Pm-3m (221)

a = 4.305 Å, b = 4.305 Å, c = 4.305 Å
α = 90.00°, β = 90.00°, γ = 90.00°
Fractional coordinates of all 5 atoms:
1 Rb 0.000 0.000 0.000
2 Ta 0.500 0.500 0.500
3 Co 0.000 0.000 0.500
4 Co 0.000 0.500 0.000
5 Co 0.500 0.000 0.000


(2)
This record from the Alexandria database describes a crystal of Rb2TaCoW relaxed with PBEsol. The functional is SCAN.

- formation energy (eV per formula unit) = 13.40
- symmetry = P4/mmm (123)

a = 6.084 Å, b = 6.084 Å, c = 4.358 Å
α = 90.00°, β = 90.00°, γ = 90.00°
Fractional coordinates of all 5 atoms:
1 Rb 0.000 0.500 0.000
2 Rb 0.500 0.000 0.000
3 Ta 0.000 0.000 0.500
4 Co 0.500 0.500 0.000
5 W 0.500 0.500 0.500


(3)
This record from the Alexandria database describes a crystal of Rb3CoTc relaxed with PBEsol. The functional is SCAN.

- formation energy (eV per formula unit) = 8.64
- symmetry = Pm-3m (221)

a = 6.289 Å, b = 6.289 Å, c = 6.289 Å
α = 90.00°, β = 90.00°, γ = 90.00°
Fractional coordinates of all 5 atoms:
1 Rb 0.000 0.000 0.500
2 Rb 0.000 0.500 0.000
3 Rb 0.500 0.000 0.000
4 Co 0.500 0.500 0.500
5 Tc 0.000 0.000 0.000


(4)
This record from the Alexandria database describes a crystal of Rb2CoTc relaxed with PBEsol. The functional is SCAN.

- formation energy (eV per formula unit) = 7.75
- symmetry = Fm-3m (225)

a = 5.609 Å, b = 5.609 Å, c = 5.609 Å
α = 60.00°, β = 60.00°, γ = 60.00°
Fractional coordinates of all 4 atoms:
1 Rb 0.250 0.250 0.250
2 Rb 0.750 0.750 0.750
3 Co 0.000 0.000 0.000
4 Tc 0.500 0.500 0.500


(5)
This record from the Alexandria database describes a crystal of RbTi2Co relaxed with PBEsol. The functional is SCAN.

- formation energy (eV per formula unit) = 5.21
- symmetry = Fm-3m (225)

a = 4.573 Å, b = 4.573 Å, c = 4.573 Å
α = 60.00°, β = 60.00°, γ = 60.00°
Fractional coordinates of all 4 atoms:
1 Rb 0.000 0.000 0.000
2 Ti 0.250 0.250 0.250
3 Ti 0.750 0.750 0.750
4 Co 0.500 0.500 0.500


(6)
This record from the Alexandria database describes a crystal of RbCoW2 relaxed with PBEsol. The functional is SCAN.

- formation energy (eV per formula unit) = 9.46
- symmetry = Fm-3m (225)

a = 4.449 Å, b = 4.449 Å, c = 4.449 Å
α = 60.00°, β = 60.00°, γ = 60.00°
Fractional coordinates of all 4 atoms:
1 Rb 0.000 0.000 0.000
2 Co 0.500 0.500 0.500
3 W 0.250 0.250 0.250
4 W 0.750 0.750 0.750